BaVSeBr2: optimized geometry, PBE.

Geometry as POSCAR:
```
BaVSeBr2
1.0
-3.552 -4.646 -1.723
4.132 -1.607 -4.185
2.843 -3.748 4.247
V Ba Br Se
1 1 2 1
direct
0.500 0.500 0.500
0.000 0.000 0.000
0.500 0.000 0.000
0.000 0.500 0.000
0.000 0.000 0.500
```

Values from the calculation:
Raw formation energy in eV/atom: -0.112
Size of the total moment in μB/f.u.: 3.0
ΔE to the lowest computed polymorph in eV/atom: 1.1026
SG: P4/mmm
N(E_F) in states/eV per cell: 5.00